1.
## Sr3Ru2O9 (PBE)

Data for a geometry-optimized Sr3Ru2O9 structure.

Summary:
The calculation puts the electronic total energy at -185.7 eV for the cell shown. Its volume is 13.32 Å³/atom. The energy relative to the elements, uncorrected is -24.6 eV per formula unit.

CIF file:
```
data_Sr3Ru2O9
_cell_length_a 7.228
_cell_length_b 7.228
_cell_length_c 7.228
_cell_angle_alpha 84.57
_cell_angle_beta 84.57
_cell_angle_gamma 84.57
_symmetry_space_group_name_H-M 'P 1'
_symmetry_Int_Tables_number 1
loop_
_symmetry_equiv_pos_as_xyz
'x,y,z'
loop_
_atom_site_label
_atom_site_type_symbol
_atom_site_fract_x
_atom_site_fract_y
_atom_site_fract_z
_atom_site_occupancy
Sr1 Sr 0.421 0.750 0.079 1
Sr2 Sr 0.250 0.921 0.579 1
Sr3 Sr 0.921 0.579 0.250 1
Sr4 Sr 0.079 0.421 0.750 1
Sr5 Sr 0.750 0.079 0.421 1
Sr6 Sr 0.579 0.250 0.921 1
Ru1 Ru 0.146 0.146 0.146 1
Ru2 Ru 0.646 0.646 0.646 1
Ru3 Ru 0.854 0.854 0.854 1
Ru4 Ru 0.354 0.354 0.354 1
O1 O 0.746 0.917 0.084 1
O2 O 0.083 0.916 0.254 1
O3 O 0.250 0.405 0.095 1
O4 O 0.583 0.754 0.416 1
O5 O 0.595 0.905 0.750 1
O6 O 0.905 0.750 0.595 1
O7 O 0.246 0.584 0.417 1
O8 O 0.584 0.417 0.246 1
O9 O 0.916 0.254 0.083 1
O10 O 0.084 0.746 0.917 1
O11 O 0.416 0.583 0.754 1
O12 O 0.405 0.095 0.250 1
O13 O 0.754 0.416 0.583 1
O14 O 0.095 0.250 0.405 1
O15 O 0.417 0.246 0.584 1
O16 O 0.750 0.595 0.905 1
O17 O 0.917 0.084 0.746 1
O18 O 0.254 0.083 0.916 1
```

=====

2.
## Sr2RuO6 (PBE)

Data for a geometry-optimized Sr2RuO6 structure.

Summary:
The calculation puts the electronic total energy at -56.7 eV for the cell shown. Its volume is 15.22 Å³/atom. The energy relative to the elements, uncorrected is -14.3 eV per formula unit. Its energy above the most stable polymorph in this dataset is 0.0000 eV per atom.

CIF file:
```
data_Sr2RuO6
_cell_length_a 6.032
_cell_length_b 6.032
_cell_length_c 5.963
_cell_angle_alpha 55.96
_cell_angle_beta 55.96
_cell_angle_gamma 54.32
_symmetry_space_group_name_H-M 'P 1'
_symmetry_Int_Tables_number 1
loop_
_symmetry_equiv_pos_as_xyz
'x,y,z'
loop_
_atom_site_label
_atom_site_type_symbol
_atom_site_fract_x
_atom_site_fract_y
_atom_site_fract_z
_atom_site_occupancy
Sr1 Sr 0.247 0.247 0.250 1
Sr2 Sr 0.753 0.753 0.750 1
Ru1 Ru 0.500 0.500 0.500 1
O1 O 0.292 0.292 0.610 1
O2 O 0.323 0.802 0.222 1
O3 O 0.677 0.198 0.778 1
O4 O 0.802 0.323 0.222 1
O5 O 0.198 0.677 0.778 1
O6 O 0.708 0.708 0.390 1
```

=====

Number 2 is which compound?
Sr2RuO6

=====

Which formula does entry 1 have?
Sr3Ru2O9

=====

The lowest electronic total energy belongs to which entry?
Sr3Ru2O9